BaSnH2Cl8: relaxed, PBE-GGA.

Calculated values
The calculation puts the total energy at -41.47 eV for the cell shown. The density of states at the Fermi level comes out at 0.0 states/eV per cell.

Geometry as POSCAR:
```
BaSnH2Cl8
1.0
6.852 0.000 0.000
1.845 7.110 0.000
3.415 0.670 7.877
Ba Sn H Cl
1 1 2 8
Direct
0.000 0.000 0.000
0.000 0.000 0.500
0.261 0.633 0.729
0.739 0.367 0.271
0.207 0.131 0.619
0.231 0.685 0.506
0.256 0.073 0.205
0.280 0.595 0.882
0.720 0.405 0.118
0.744 0.927 0.795
0.769 0.315 0.494
0.793 0.869 0.381
```